Compound: Nb2GaOs
Source: Alexandria via LeMat-Bulk
Functional: PBE
Structure: relaxed

a b c (Å): 2.9036 2.9036 9.3006
angles (deg): 81.02 81.02 60.00
Positions (direct):
Nb: 0.2519 0.2519 0.2443
Nb: 0.7481 0.7481 0.7557
Os: 0.0000 0.0000 0.0000
Ga: 0.5000 0.5000 0.5000

E_form, meV per atom: -22
Electronic total energy, eV/atom: -8.6212
Total magnetic moment, μB per formula unit: 0.00
N(E_F), states/eV/cell: 4.0
SG: R-3m, No. 166

=====

Compound: Nb2Ga2Os
Source: Alexandria via LeMat-Bulk
Functional: PBE
Structure: relaxed

a b c (Å): 6.4902 6.4902 3.8519
angles (deg): 90.00 90.00 90.00
Positions (direct):
Nb: 0.1705 0.6705 0.5000
Nb: 0.6705 0.8295 0.5000
Nb: 0.8295 0.3295 0.5000
Nb: 0.3295 0.1705 0.5000
Os: 0.0000 0.0000 0.0000
Os: 0.5000 0.5000 0.0000
Ga: 0.3658 0.8658 0.0000
Ga: 0.8658 0.6342 0.0000
Ga: 0.6342 0.1342 0.0000
Ga: 0.1342 0.3658 0.0000

E_form, meV per atom: -172
Electronic total energy, eV/atom: -7.6566
Total magnetic moment, μB per formula unit: 0.00
N(E_F), states/eV/cell: 5.4
SG: P4/mbm, No. 127

=====

Compound: Nb2GaOs
Source: Alexandria via LeMat-Bulk
Functional: PBE
Structure: relaxed

a b c (Å): 4.0050 4.0369 4.0369
angles (deg): 90.00 90.00 90.00
Positions (direct):
Nb: 0.0000 0.0000 0.5000
Nb: 0.0000 0.5000 0.0000
Os: 0.5000 0.0000 0.0000
Ga: 0.5000 0.5000 0.5000

E_form, meV per atom: -174
Electronic total energy, eV/atom: -8.7728
Total magnetic moment, μB per formula unit: 0.00
N(E_F), states/eV/cell: 2.8
SG: P4/mmm, No. 123

=====

Compound: NbGaOs2
Source: Alexandria via LeMat-Bulk
Functional: PBE
Structure: relaxed

a b c (Å): 6.1797 6.1797 6.1797
angles (deg): 51.61 155.01 135.61
Positions (direct):
Nb: 0.0000 0.5000 0.5000
Ga: 0.0000 0.0000 0.0000
Os: 0.0000 0.2732 0.2732
Os: 0.0000 0.7268 0.7268

E_form, meV per atom: 562
Electronic total energy, eV/atom: -8.3269
Total magnetic moment, μB per formula unit: 0.00
N(E_F), states/eV/cell: 3.4
SG: Immm, No. 71